Ba4In2Te2S5 after structural relaxation, computed with PBE.

Cell: 8.4993 8.4993 11.1870 Å, 90.00 90.00 90.00°
Last column: nearest neighbours and their distance in Å.
Space group P4/mbm (No. 127)
Unique sites:
Ba  0.0000  0.0000  0.2215 (multiplicity 4)  5 S 3.12-3.35
Ba  0.1597  0.3403  0.5000 (multiplicity 4)  8 S 3.11-3.46
In  0.0000  0.5000  0.1602 (multiplicity 4)  2 S 2.47
Te  0.1840  0.3160  0.0000 (multiplicity 4)  2 In 2.85
S  0.0000  0.0000  0.5000 (multiplicity 2)  6 Ba 3.12-3.19
S  0.1555  0.6555  0.3049 (multiplicity 8)  1 In 2.47

Summary:
Formation energy without anion corrections in eV/atom: -1.474
DOS(E_F) in states/eV/f.u.: 0.00